(1)
Density functional theory data (PBE) for an optimized crystal structure of Ti2I3Br.

CIF file:
```
data_Ti2I3Br
_space_group_name_H-M_alt 'P 1'
_space_group_IT_number 1
_cell_length_a 11.4359
_cell_length_b 11.4359
_cell_length_c 9.4703
_cell_angle_alpha 101.53
_cell_angle_beta 101.53
_cell_angle_gamma 19.03
loop_
_space_group_symop_operation_xyz
'x,y,z'
loop_
_atom_site_label
_atom_site_fract_x
_atom_site_fract_y
_atom_site_fract_z
_atom_site_occupancy
Ti1 0.0844 0.0844 0.1671 1
Ti2 0.2906 0.2906 0.6070 1
Ti3 0.7094 0.7094 0.3930 1
Ti4 0.9156 0.9156 0.8329 1
I1 0.0432 0.0432 0.8612 1
I2 0.2860 0.2860 0.3137 1
I3 0.4171 0.4171 0.6109 1
I4 0.5829 0.5829 0.3891 1
I5 0.7140 0.7140 0.6863 1
I6 0.9568 0.9568 0.1388 1
Br1 0.3403 0.3403 0.8918 1
Br2 0.6597 0.6597 0.1082 1
```

Values from the calculation:
symmetry: No. 12
theoretical density: 4.67 g cm⁻³
crystal system: monoclinic
calculated total energy: -52.42 eV per cell
formation energy from raw total energies: -683 meV/atom
ΔE to the lowest computed polymorph: 109 meV/atom



(2)
Density functional theory data (PBE) for an optimized crystal structure of SrAcCdBi.

CIF file:
```
data_SrAcCdBi
_space_group_name_H-M_alt 'P 1'
_space_group_IT_number 1
_cell_length_a 5.8340
_cell_length_b 5.8340
_cell_length_c 5.8340
_cell_angle_alpha 60.00
_cell_angle_beta 60.00
_cell_angle_gamma 60.00
loop_
_space_group_symop_operation_xyz
'x,y,z'
loop_
_atom_site_label
_atom_site_fract_x
_atom_site_fract_y
_atom_site_fract_z
_atom_site_occupancy
Sr1 0.0000 0.0000 0.0000 1
Ac1 0.5000 0.5000 0.5000 1
Cd1 0.2500 0.2500 0.2500 1
Bi1 0.7500 0.7500 0.7500 1
```

Values from the calculation:
symmetry: No. 216
theoretical density: 7.52 g cm⁻³
crystal system: cubic
calculated total energy: -12.61 eV per cell
DFT formation energy: -49 kJ per mole of atoms



(3)
Density functional theory data (PBE) for an optimized crystal structure of PaTl3Pd2Se6.

CIF file:
```
data_PaTl3Pd2Se6
_space_group_name_H-M_alt 'P 1'
_space_group_IT_number 1
_cell_length_a 6.6100
_cell_length_b 6.6100
_cell_length_c 8.4375
_cell_angle_alpha 97.50
_cell_angle_beta 97.50
_cell_angle_gamma 120.07
loop_
_space_group_symop_operation_xyz
'x,y,z'
loop_
_atom_site_label
_atom_site_fract_x
_atom_site_fract_y
_atom_site_fract_z
_atom_site_occupancy
Pa1 0.0000 0.0000 0.0000 1
Tl1 0.1620 0.8380 0.5000 1
Tl2 0.5000 0.5000 0.5000 1
Tl3 0.8380 0.1620 0.5000 1
Pd1 0.3333 0.6667 0.0000 1
Pd2 0.6667 0.3333 0.0000 1
Se1 0.0632 0.4184 0.1915 1
Se2 0.2907 0.2907 0.8101 1
Se3 0.4184 0.0632 0.1915 1
Se4 0.5816 0.9368 0.8085 1
Se5 0.7093 0.7093 0.1899 1
Se6 0.9368 0.5816 0.8085 1
```

Values from the calculation:
symmetry: No. 12
theoretical density: 8.25 g cm⁻³
crystal system: monoclinic
calculated total energy: -55.09 eV per cell
formation energy from raw total energies: -600 meV/atom



(4)
Density functional theory data (PBE) for an optimized crystal structure of Nd2DyTm3Te6.

CIF file:
```
data_Nd2DyTm3Te6
_space_group_name_H-M_alt 'P 1'
_space_group_IT_number 1
_cell_length_a 9.8639
_cell_length_b 9.8639
_cell_length_c 8.8737
_cell_angle_alpha 104.83
_cell_angle_beta 104.83
_cell_angle_gamma 25.29
loop_
_space_group_symop_operation_xyz
'x,y,z'
loop_
_atom_site_label
_atom_site_fract_x
_atom_site_fract_y
_atom_site_fract_z
_atom_site_occupancy
Nd1 0.1697 0.1697 0.3386 1
Nd2 0.8303 0.8303 0.6614 1
Dy1 0.5000 0.5000 0.0000 1
Tm1 0.1715 0.1715 0.8365 1
Tm2 0.5000 0.5000 0.5000 1
Tm3 0.8285 0.8285 0.1635 1
Te1 0.0045 0.0045 0.7492 1
Te2 0.3346 0.3346 0.9271 1
Te3 0.3386 0.3386 0.4059 1
Te4 0.6614 0.6614 0.5941 1
Te5 0.6654 0.6654 0.0729 1
Te6 0.9955 0.9955 0.2508 1
```

Values from the calculation:
symmetry: No. 12
theoretical density: 8.04 g cm⁻³
crystal system: monoclinic
calculated total energy: -61.73 eV per cell
formation energy from raw total energies: -1278 meV/atom



(5)
Density functional theory data (PBE) for an optimized crystal structure of K2Na17Tl3.

CIF file:
```
data_K2Na17Tl3
_space_group_name_H-M_alt 'P 1'
_space_group_IT_number 1
_cell_length_a 9.5882
_cell_length_b 9.5882
_cell_length_c 9.5882
_cell_angle_alpha 83.80
_cell_angle_beta 83.80
_cell_angle_gamma 83.80
loop_
_space_group_symop_operation_xyz
'x,y,z'
loop_
_atom_site_label
_atom_site_fract_x
_atom_site_fract_y
_atom_site_fract_z
_atom_site_occupancy
K1 0.1626 0.1626 0.1626 1
K2 0.8374 0.8374 0.8374 1
Na1 0.0000 0.5000 0.5000 1
Na2 0.1638 0.1638 0.6928 1
Na3 0.1638 0.6928 0.1638 1
Na4 0.2398 0.5000 0.7602 1
Na5 0.2398 0.7602 0.5000 1
Na6 0.3072 0.8362 0.8362 1
Na7 0.3944 0.3944 0.3944 1
Na8 0.5000 0.0000 0.5000 1
Na9 0.5000 0.2398 0.7602 1
Na10 0.5000 0.5000 0.0000 1
Na11 0.5000 0.7602 0.2398 1
Na12 0.6056 0.6056 0.6056 1
Na13 0.6928 0.1638 0.1638 1
Na14 0.7602 0.2398 0.5000 1
Na15 0.7602 0.5000 0.2398 1
Na16 0.8362 0.3072 0.8362 1
Na17 0.8362 0.8362 0.3072 1
Tl1 0.0000 0.0000 0.5000 1
Tl2 0.0000 0.5000 0.0000 1
Tl3 0.5000 0.0000 0.0000 1
```

Values from the calculation:
symmetry: No. 166
theoretical density: 2.07 g cm⁻³
crystal system: trigonal
calculated total energy: -30.75 eV per cell
DFT formation energy: 4 kJ per mole of atoms



(6)
Density functional theory data (PBE) for an optimized crystal structure of TlAs4Rh.

CIF file:
```
data_TlAs4Rh
_space_group_name_H-M_alt 'P 1'
_space_group_IT_number 1
_cell_length_a 5.6325
_cell_length_b 5.6325
_cell_length_c 5.6325
_cell_angle_alpha 60.00
_cell_angle_beta 60.00
_cell_angle_gamma 60.00
loop_
_space_group_symop_operation_xyz
'x,y,z'
loop_
_atom_site_label
_atom_site_fract_x
_atom_site_fract_y
_atom_site_fract_z
_atom_site_occupancy
Tl1 0.0000 0.0000 0.0000 1
As1 0.1039 0.6320 0.6320 1
As2 0.6320 0.1039 0.6320 1
As3 0.6320 0.6320 0.1039 1
As4 0.6320 0.6320 0.6320 1
Rh1 0.2500 0.2500 0.2500 1
```

Values from the calculation:
symmetry: No. 216
theoretical density: 7.98 g cm⁻³
crystal system: cubic
calculated total energy: -25.18 eV per cell
DFT formation energy: 50 kJ per mole of atoms



(7)
Density functional theory data (PBE) for an optimized crystal structure of ScTl.

CIF file:
```
data_ScTl
_space_group_name_H-M_alt 'P 1'
_space_group_IT_number 1
_cell_length_a 6.3369
_cell_length_b 4.9346
_cell_length_c 6.1094
_cell_angle_alpha 90.00
_cell_angle_beta 90.00
_cell_angle_gamma 90.00
loop_
_space_group_symop_operation_xyz
'x,y,z'
loop_
_atom_site_label
_atom_site_fract_x
_atom_site_fract_y
_atom_site_fract_z
_atom_site_occupancy
Sc1 0.1228 0.2500 0.1361 1
Sc2 0.3772 0.7500 0.6361 1
Sc3 0.6228 0.2500 0.3639 1
Sc4 0.8772 0.7500 0.8639 1
Tl1 0.1144 0.2500 0.6352 1
Tl2 0.3856 0.7500 0.1352 1
Tl3 0.6144 0.2500 0.8648 1
Tl4 0.8856 0.7500 0.3648 1
```

Values from the calculation:
symmetry: No. 62
theoretical density: 8.67 g cm⁻³
crystal system: orthorhombic
calculated total energy: -36.67 eV per cell
DFT formation energy: -23 kJ per mole of atoms



(8)
Density functional theory data (PBE) for an optimized crystal structure of ThAl2SiRh4.

CIF file:
```
data_ThAl2SiRh4
_space_group_name_H-M_alt 'P 1'
_space_group_IT_number 1
_cell_length_a 8.8721
_cell_length_b 8.8721
_cell_length_c 8.8721
_cell_angle_alpha 27.39
_cell_angle_beta 27.39
_cell_angle_gamma 27.39
loop_
_space_group_symop_operation_xyz
'x,y,z'
loop_
_atom_site_label
_atom_site_fract_x
_atom_site_fract_y
_atom_site_fract_z
_atom_site_occupancy
Th1 0.0000 0.0000 0.0000 1
Al1 0.2382 0.2382 0.2382 1
Al2 0.7618 0.7618 0.7618 1
Si1 0.5000 0.5000 0.5000 1
Rh1 0.1359 0.1359 0.1359 1
Rh2 0.4043 0.4043 0.4043 1
Rh3 0.5957 0.5957 0.5957 1
Rh4 0.8641 0.8641 0.8641 1
```

Values from the calculation:
symmetry: No. 166
theoretical density: 9.24 g cm⁻³
crystal system: trigonal
calculated total energy: -57.26 eV per cell
formation energy from raw total energies: -941 meV/atom